No. 1
5
Lattice="5.4918 0.0000 0.0000 0.0000 5.4918 0.0000 0.0000 0.0000 5.4918" Properties=species:S:1:pos:R:3 comment="VPtI3, optimized geometry, DFT GGA-PBE" raw_formation_energy_mev_per_atom=576 e_tot_ev_per_cell=-16.93 pbc="T T T"
V 0.0000 0.0000 0.0000
Pt 2.7459 2.7459 2.7459
I 0.0000 2.7459 2.7459
I 2.7459 0.0000 2.7459
I 2.7459 2.7459 0.0000



No. 2
12
Lattice="3.8793 0.0000 0.0000 -1.9396 3.3595 0.0000 0.0000 0.0000 19.2899" Properties=species:S:1:pos:R:3 comment="PaHS2, optimized geometry, DFT GGA-PBE" e_tot_ev_per_cell=-74.25 pbc="T T T"
Pa 0.0000 0.0000 0.0000
Pa 0.0000 2.2397 12.8599
Pa 1.9396 1.1198 6.4299
H 0.0000 0.0000 9.6449
H 0.0000 2.2397 3.2150
H 1.9396 1.1198 16.0749
S 0.0000 0.0000 8.0056
S 0.0000 0.0000 11.2842
S 0.0000 2.2397 1.5757
S 0.0000 2.2397 4.8543
S 1.9396 1.1198 14.4356
S 1.9396 1.1198 17.7142



No. 3
13
Lattice="-3.7800 3.7800 2.1803 3.7800 -3.7800 2.1803 3.7800 3.7800 -2.1803" Properties=species:S:1:pos:R:3 comment="NbFe8B4, optimized geometry, DFT GGA-PBE" e_tot_ev_per_cell=-105.98 delta_e_f_kcal_per_mol_atoms=-2.7 pbc="T T T"
Nb 0.0000 0.0000 0.0000
Fe 2.6122 0.0000 0.0000
Fe 4.9477 0.0000 0.0000
Fe 3.7800 2.1145 0.0000
Fe 0.0000 2.6122 0.0000
Fe 2.1145 3.7800 0.0000
Fe 1.6655 0.0000 2.1803
Fe 0.0000 4.9477 0.0000
Fe 0.0000 1.6655 2.1803
B 1.8900 1.8900 -1.0901
B 1.8900 -1.8900 1.0901
B -1.8900 1.8900 1.0901
B 1.8900 1.8900 1.0901



No. 4
16
Lattice="6.9705 0.0000 0.0000 0.0000 6.9705 0.0000 0.0000 0.0000 6.9705" Properties=species:S:1:pos:R:3 comment="Zr2AgSe, optimized geometry, DFT GGA-PBE" raw_formation_energy_mev_per_atom=264 e_tot_ev_per_cell=-89.51 pbc="T T T"
Zr 0.0000 0.0000 0.0000
Zr 0.0000 3.4852 3.4852
Zr 1.7426 1.7426 1.7426
Zr 1.7426 5.2279 5.2279
Zr 3.4852 0.0000 3.4852
Zr 3.4852 3.4852 0.0000
Zr 5.2279 1.7426 5.2279
Zr 5.2279 5.2279 1.7426
Ag 1.7426 1.7426 5.2279
Ag 1.7426 5.2279 1.7426
Ag 5.2279 1.7426 1.7426
Ag 5.2279 5.2279 5.2279
Se 0.0000 0.0000 3.4852
Se 0.0000 3.4852 0.0000
Se 3.4852 0.0000 0.0000
Se 3.4852 3.4852 3.4852